Material: La4CdIn2
Method: DFT, PBE-GGA
State: relaxed

```
data_La4CdIn2
_chemical_formula_sum 'La8 Cd2 In4'
_space_group_name_H-M_alt 'I 4/m m m'
_space_group_IT_number 139
_space_group_name_Hall '-I 4 2'
_cell_length_a 5.839
_cell_length_b 5.839
_cell_length_c 16.125
_cell_angle_alpha 90.00
_cell_angle_beta 90.00
_cell_angle_gamma 90.00
loop_
_atom_site_label
_atom_site_type_symbol
_atom_site_fract_x
_atom_site_fract_y
_atom_site_fract_z
La1 La 0.000 0.000 0.194
La2 La 0.000 0.500 0.000
Cd1 Cd 0.000 0.000 0.000
In1 In 0.000 0.000 0.389
```

## Properties
Energy above the lowest structure with this stoichiometry ... 0.3806 eV per atom
Formation energy ... 0.051 eV per atom
Raw total energy ... -51.49 eV per cell
Crystal system ... tetragonal